# 1
A plane-wave DFT calculation with PBE-GGA was carried out for crystalline Sr3Ni2 at its relaxed geometry.

Properties
Its symmetry is R-3c. For the energy, the calculation gives -3.183 eV/atom.

Geometry as POSCAR:
```
Sr3Ni2
1.0
3.783 2.184 6.332
-3.783 2.184 6.332
0.000 -4.368 6.332
Sr Ni
6 4
Direct
0.105 0.750 0.395 Sr
0.250 0.605 0.895 Sr
0.395 0.105 0.750 Sr
0.605 0.895 0.250 Sr
0.750 0.395 0.105 Sr
0.895 0.250 0.605 Sr
0.188 0.188 0.188 Ni
0.312 0.312 0.312 Ni
0.688 0.688 0.688 Ni
0.812 0.812 0.812 Ni
```

# 2
A plane-wave DFT calculation with PBE-GGA was carried out for crystalline BaSrCdSbAs at its relaxed geometry.

Properties
The calculation puts the relative energy among the computed polymorphs at 41.7 meV/atom. Its symmetry is Cmc2_1. For the energy, the calculation gives -3.549 eV/atom.

Geometry as POSCAR:
```
BaSrCdSbAs
1.0
2.339 -8.568 0.000
2.339 8.568 0.000
0.000 0.000 8.420
Ba Sr Cd Sb As
2 2 2 2 2
Direct
0.043 0.957 0.500 Ba
0.957 0.043 0.000 Ba
0.214 0.786 0.871 Sr
0.786 0.214 0.371 Sr
0.402 0.598 0.657 Cd
0.598 0.402 0.157 Cd
0.429 0.571 0.302 Sb
0.571 0.429 0.802 Sb
0.178 0.822 0.233 As
0.822 0.178 0.733 As
```